(1)
This record from the Alexandria database describes NaAgPtBr6 after structural relaxation. The functional is PBE.

```
NaAgPtBr6
1.0
-6.247 -2.420 -2.099
2.218 -1.222 6.548
-5.166 10.174 3.648
Br Na Pt Ag
12 2 2 2
Direct
0.627 0.956 0.874
0.956 0.329 0.126
0.044 0.373 0.626
0.671 0.627 0.126
0.671 0.044 0.374
0.044 0.671 0.874
0.373 0.329 0.374
0.373 0.044 0.126
0.956 0.627 0.374
0.329 0.956 0.626
0.627 0.671 0.626
0.329 0.373 0.874
0.333 0.667 0.250
0.667 0.333 0.750
0.667 0.333 0.250
0.333 0.667 0.750
0.000 0.000 0.500
0.000 0.000 0.000
```

Summary:
The crystal system is trigonal. As for the electronic total energy: -2.784 eV/atom.

=====

(2)
This record from the Alexandria database describes NaHgI after structural relaxation. The functional is PBE.

```
NaHgI
1.0
-3.495 2.475 -1.484
-2.273 -3.806 -0.947
-4.015 0.062 9.857
Na I Hg
2 2 2
Direct
0.252 0.252 0.641
0.748 0.748 0.359
0.247 0.247 0.340
0.753 0.753 0.660
0.500 0.000 0.000
0.000 0.500 0.000
```

Summary:
The crystal system is monoclinic. For the offset from the most stable computed form, the calculation gives 0.0000 eV/atom.

=====

(3)
This record from the Alexandria database describes TaZn2AuCl after structural relaxation. The functional is PBE.

```
TaZn2AuCl
1.0
-3.600 -3.163 -0.931
3.210 -2.778 -2.977
1.317 -2.643 3.887
Zn Cl Au Ta
2 1 1 1
Direct
0.000 0.000 0.500
0.500 0.000 0.000
0.500 0.500 0.500
0.000 0.000 0.000
0.000 0.500 0.000
```

Summary:
The crystal system is tetragonal. As for the electronic total energy: -3.274 eV/atom.

=====

(4)
This record from the Alexandria database describes TbPrYTl after structural relaxation. The functional is PBE.

```
TbPrYTl
1.0
5.557 0.000 0.000
2.779 4.813 0.000
2.779 1.604 4.537
Y Tb Pr Tl
1 1 1 1
Direct
0.750 0.750 0.750
0.000 0.000 0.000
0.250 0.250 0.250
0.500 0.500 0.500
```

Summary:
The crystal system is cubic. For the offset from the most stable computed form, the calculation gives 0.1359 eV/atom. The energy of formation from the pure elements comes out at -0.06 eV per atom.

=====

(5)
This record from the Alexandria database describes Ce2TmSi2Ni2 after structural relaxation. The functional is PBE.

```
Ce2TmSi2Ni2
1.0
4.097 0.000 0.000
2.049 3.548 0.000
2.049 1.183 8.878
Si Tm Ni Ce
2 1 2 2
Direct
0.736 0.736 0.793
0.264 0.264 0.207
0.000 0.000 0.000
0.402 0.402 0.795
0.598 0.598 0.205
0.136 0.136 0.592
0.864 0.864 0.408
```

Summary:
The crystal system is trigonal. As for the electronic total energy: -6.209 eV/atom.

=====

(6)
This record from the Alexandria database describes PmSm2Th3Sb6 after structural relaxation. The functional is PBE.

```
PmSm2Th3Sb6
1.0
4.498 0.000 0.000
0.000 8.963 0.325
-2.249 -2.572 9.449
Sb Th Sm Pm
6 3 2 1
Direct
0.667 0.582 0.334
0.001 0.250 0.001
0.999 0.750 0.999
0.333 0.915 0.667
0.667 0.085 0.333
0.333 0.418 0.666
0.500 0.500 0.000
0.166 0.833 0.333
0.834 0.167 0.667
0.167 0.333 0.333
0.833 0.667 0.667
0.500 0.000 0.000
```

Summary:
The crystal system is monoclinic. As for the electronic total energy: -6.154 eV/atom.

=====

(7)
This record from the Alexandria database describes GeBiF2 after structural relaxation. The functional is PBE.

```
GeBiF2
1.0
-1.179 -4.034 -4.900
5.444 -3.204 1.328
-0.170 -6.365 1.029
F Ge Bi
4 2 2
Direct
0.375 0.514 0.750
0.875 0.736 0.750
0.264 0.625 0.250
0.486 0.125 0.250
0.250 0.750 0.500
0.500 0.500 0.000
0.000 0.000 0.000
0.750 0.250 0.500
```

Summary:
The crystal system is tetragonal. For the offset from the most stable computed form, the calculation gives 0.2434 eV/atom.

=====

(8)
This record from the Alexandria database describes Pb2C3 after structural relaxation. The functional is PBE.

```
Pb2C3
1.0
11.103 -1.483 -0.015
11.103 1.483 -0.015
10.908 0.000 2.547
C Pb
3 2
Direct
0.833 0.833 0.833
0.000 0.000 0.000
0.167 0.167 0.167
0.612 0.612 0.612
0.388 0.388 0.388
```

Summary:
The crystal system is trigonal. For the offset from the most stable computed form, the calculation gives 0.8432 eV/atom. The energy of formation from the pure elements comes out at 1.83 eV per atom.

=====

(9)
This record from the Alexandria database describes Sr8Al2Ag after structural relaxation. The functional is PBE.

```
Sr8Al2Ag
1.0
-5.418 0.103 1.448
1.501 -7.414 6.143
3.602 8.781 1.989
Sr Al Ag
8 2 1
Direct
0.131 0.131 0.261
0.869 0.869 0.739
0.339 0.127 0.677
0.661 0.450 0.323
0.661 0.873 0.323
0.339 0.550 0.677
0.000 0.672 0.000
0.000 0.328 0.000
0.193 0.693 0.385
0.807 0.307 0.615
0.500 0.000 0.000
```

Summary:
The crystal system is orthorhombic. The energy of formation from the pure elements comes out at -0.02 eV per atom.

=====

(10)
This record from the Alexandria database describes Ni2IrPdSe6 after structural relaxation. The functional is PBE.

```
Ni2IrPdSe6
1.0
-1.318 6.287 0.302
-7.337 -0.212 3.294
2.892 1.740 7.303
Se Ni Pd Ir
12 4 2 2
Direct
0.364 0.194 0.031
0.351 0.897 0.373
0.155 0.257 0.451
0.149 0.627 0.103
0.655 0.451 0.257
0.845 0.743 0.549
0.345 0.549 0.743
0.864 0.031 0.194
0.636 0.806 0.969
0.851 0.373 0.897
0.649 0.103 0.627
0.136 0.969 0.806
0.676 0.598 0.764
0.824 0.236 0.402
0.324 0.402 0.236
0.176 0.764 0.598
0.250 0.257 0.743
0.750 0.743 0.257
0.250 0.908 0.092
0.750 0.092 0.908
```

Summary:
The crystal system is monoclinic. As for the electronic total energy: -4.887 eV/atom.

=====

(11)
This record from the Alexandria database describes Li2DyP2Pt2 after structural relaxation. The functional is PBE.

```
Li2DyP2Pt2
1.0
-1.804 -3.645 0.498
2.128 -3.443 -0.637
2.246 -2.410 7.357
Pt P Li Dy
2 2 2 1
Direct
0.577 0.577 0.268
0.423 0.423 0.732
0.747 0.747 0.760
0.253 0.253 0.240
0.143 0.143 0.572
0.857 0.857 0.428
0.000 0.000 0.000
```

Summary:
The crystal system is trigonal. The energy of formation from the pure elements comes out at -1.02 eV per atom.

=====

(12)
This record from the Alexandria database describes MgGeF2 after structural relaxation. The functional is PBE.

```
MgGeF2
1.0
-4.182 -1.050 -0.703
-3.145 1.801 2.441
-2.722 2.930 -1.759
F Mg Ge
2 1 1
Direct
0.250 0.250 0.250
0.750 0.750 0.750
0.000 0.000 0.000
0.500 0.500 0.500
```

Summary:
The crystal system is cubic. For the offset from the most stable computed form, the calculation gives 1.1102 eV/atom.

=====

(13)
This record from the Alexandria database describes AgGeO2 after structural relaxation. The functional is PBE.

```
AgGeO2
1.0
-1.747 -4.435 2.053
0.415 -2.307 -4.630
3.565 -4.582 -0.305
O Ag Ge
4 2 2
Direct
0.535 0.125 0.250
0.375 0.465 0.750
0.215 0.625 0.250
0.875 0.785 0.750
0.000 0.000 0.000
0.750 0.250 0.500
0.250 0.750 0.500
0.500 0.500 0.000
```

Summary:
The crystal system is tetragonal. As for the electronic total energy: -5.115 eV/atom.

=====

(14)
This record from the Alexandria database describes SrCa2TeN after structural relaxation. The functional is PBE.

```
SrCa2TeN
1.0
4.863 0.000 0.000
0.000 4.863 0.000
0.000 0.000 5.358
Sr Ca Te N
1 2 1 1
Direct
0.000 0.000 0.500
0.000 0.500 0.000
0.500 0.000 0.000
0.500 0.500 0.500
0.000 0.000 0.000
```

Summary:
The crystal system is tetragonal. As for the electronic total energy: -4.420 eV/atom.

=====

(15)
This record from the Alexandria database describes CoSn2As2 after structural relaxation. The functional is PBE.

```
CoSn2As2
1.0
-3.796 0.647 -4.682
1.198 -5.677 -1.756
-4.397 -1.947 3.296
As Sn Co
4 4 2
Direct
0.646 0.146 0.000
0.146 0.354 0.000
0.854 0.646 0.000
0.354 0.854 0.000
0.697 0.197 0.500
0.803 0.697 0.500
0.197 0.303 0.500
0.303 0.803 0.500
0.000 0.000 0.000
0.500 0.500 0.000
```

Summary:
The crystal system is tetragonal. The energy of formation from the pure elements comes out at 0.02 eV per atom.

=====

(16)
This record from the Alexandria database describes Ba2ZnPtC after structural relaxation. The functional is PBE.

```
Ba2ZnPtC
1.0
-2.779 -0.984 5.055
-2.479 -2.263 -1.803
3.468 -4.603 1.010
Zn Pt Ba C
1 1 2 1
Direct
0.000 0.500 0.000
0.500 0.500 0.500
0.500 0.000 0.000
0.000 0.000 0.500
0.000 0.000 0.000
```

Summary:
The crystal system is tetragonal. For the offset from the most stable computed form, the calculation gives 0.2075 eV/atom. The energy of formation from the pure elements comes out at 0.02 eV per atom.

=====

(17)
This record from the Alexandria database describes HfSc2Mn after structural relaxation. The functional is PBE.

```
HfSc2Mn
1.0
3.163 0.000 0.000
0.000 3.163 0.000
0.000 0.000 8.105
Sc Mn Hf
2 1 1
Direct
0.000 0.000 0.214
0.000 0.000 0.786
0.500 0.500 0.000
0.500 0.500 0.500
```

Summary:
The crystal system is tetragonal. For the offset from the most stable computed form, the calculation gives 0.0000 eV/atom. The energy of formation from the pure elements comes out at 0.11 eV per atom.

=====

(18)
This record from the Alexandria database describes CdCo2Rh after structural relaxation. The functional is PBE.

```
CdCo2Rh
1.0
-1.262 -2.930 -3.388
1.292 -3.695 -2.516
-1.918 -3.516 2.533
Co Cd Rh
2 1 1
Direct
0.509 0.509 0.457
0.991 0.991 0.043
0.750 0.750 0.750
0.250 0.250 0.250
```

Summary:
The crystal system is monoclinic. The energy of formation from the pure elements comes out at 0.23 eV per atom.

=====

(19)
This record from the Alexandria database describes CsMg14Ni after structural relaxation. The functional is PBE.

```
CsMg14Ni
1.0
3.225 -5.586 0.000
3.225 5.586 0.000
0.000 0.000 10.711
Mg Cs Ni
14 1 1
Direct
0.496 0.992 0.500
0.508 0.492 0.000
0.163 0.837 0.786
0.675 0.837 0.786
0.667 0.333 0.261
0.163 0.325 0.786
0.508 0.016 0.000
0.667 0.333 0.739
0.163 0.837 0.214
0.008 0.504 0.500
0.496 0.504 0.500
0.675 0.837 0.214
0.984 0.492 0.000
0.163 0.325 0.214
0.000 0.000 0.500
0.000 0.000 0.000
```

Summary:
The crystal system is hexagonal. For the offset from the most stable computed form, the calculation gives 0.0147 eV/atom. The energy of formation from the pure elements comes out at 0.19 eV per atom.

=====

(20)
This record from the Alexandria database describes TiReSbTe2 after structural relaxation. The functional is PBE.

```
TiReSbTe2
1.0
5.314 0.000 0.000
0.000 5.314 0.000
0.000 0.000 5.078
Sb Te Re Ti
1 2 1 1
Direct
0.000 0.000 0.500
0.000 0.500 0.000
0.500 0.000 0.000
0.000 0.000 0.000
0.500 0.500 0.500
```

Summary:
The crystal system is tetragonal. For the offset from the most stable computed form, the calculation gives 0.0000 eV/atom.

=====

(21)
This record from the Alexandria database describes BaTmCdPb after structural relaxation. The functional is PBE.

```
BaTmCdPb
1.0
5.673 0.000 0.000
2.836 4.913 0.000
2.836 1.638 4.632
Cd Tm Ba Pb
1 1 1 1
Direct
0.250 0.250 0.250
0.500 0.500 0.500
0.000 0.000 0.000
0.750 0.750 0.750
```

Summary:
The crystal system is cubic. The energy of formation from the pure elements comes out at -0.28 eV per atom.

=====

(22)
This record from the Alexandria database describes ZnSbN after structural relaxation. The functional is PBE.

```
ZnSbN
1.0
-0.992 -0.660 3.162
-1.212 -4.090 0.572
9.131 -17.519 1.014
Zn Sb N
2 2 2
Direct
0.103 0.193 0.778
0.528 0.239 0.881
0.238 0.035 0.665
0.393 0.397 0.994
0.147 0.516 0.366
0.965 0.934 0.313
```

Summary:
The crystal system is monoclinic. For the offset from the most stable computed form, the calculation gives 0.0000 eV/atom.

=====

(23)
This record from the Alexandria database describes TaAl2Ni2 after structural relaxation. The functional is PBE.

```
TaAl2Ni2
1.0
-5.327 0.938 -4.536
4.477 -0.729 -5.409
-0.459 -2.693 -0.017
Ni Ta Al
4 2 4
Direct
0.131 0.369 0.000
0.869 0.631 0.000
0.369 0.869 0.000
0.631 0.131 0.000
0.000 0.000 0.000
0.500 0.500 0.000
0.662 0.838 0.500
0.838 0.338 0.500
0.162 0.662 0.500
0.338 0.162 0.500
```

Summary:
The crystal system is tetragonal. For the offset from the most stable computed form, the calculation gives 0.0000 eV/atom. The energy of formation from the pure elements comes out at -0.40 eV per atom.

=====

(24)
This record from the Alexandria database describes La2Tb6CeDy3 after structural relaxation. The functional is PBE.

```
La2Tb6CeDy3
1.0
6.214 -0.003 0.005
-3.108 5.381 0.005
-1.049 -1.816 11.682
Dy Tb La Ce
3 6 2 1
Direct
0.833 0.167 0.500
0.500 0.500 0.500
0.167 0.833 0.500
0.754 0.754 0.254
0.414 0.084 0.253
0.916 0.586 0.747
0.246 0.246 0.746
0.084 0.414 0.253
0.586 0.916 0.747
0.666 0.334 0.000
0.334 0.666 0.000
0.000 0.000 0.000
```

Summary:
The crystal system is monoclinic. The energy of formation from the pure elements comes out at 0.04 eV per atom.

=====

(25)
This record from the Alexandria database describes GeCN after structural relaxation. The functional is PBE.

```
GeCN
1.0
-1.777 0.884 2.411
-0.617 -2.011 2.307
3.744 1.493 0.200
C Ge N
1 1 1
Direct
0.949 0.806 0.959
0.380 0.237 0.251
0.827 0.684 0.589
```

Summary:
The crystal system is monoclinic. For the offset from the most stable computed form, the calculation gives 0.0670 eV/atom.